Material: BaTl2Te
Method: DFT, PBE-GGA
State: relaxed

Geometry as POSCAR:
```
BaTl2Te
1.0
6.4421 0.0000 0.0000
0.0000 4.9161 -0.0354
0.0000 0.1937 4.8519
Te Ba Tl
1 1 2
Direct
0.5000 0.7500 0.7500 Te
0.5000 0.2500 0.2500 Ba
0.0000 0.9736 0.9715 Tl
0.0000 0.5264 0.5285 Tl
```

## Properties
Symmetry: P2/m, No. 10
Total magnetic moment in Bohr magnetons per cell: 0.00
Raw total energy in eV per atom: -3.065
Crystal system: monoclinic